The following is a GGA-PBE calculation of a relaxed Y2AgF8 crystal, from the Alexandria database.

Geometry as CIF:
```
data_Y2AgF8
_symmetry_space_group_name_H-M 'P 1'
_symmetry_Int_Tables_number 1
_cell_length_a 6.0527
_cell_length_b 6.0527
_cell_length_c 4.5203
_cell_angle_alpha 99.68
_cell_angle_beta 99.68
_cell_angle_gamma 111.21
loop_
_symmetry_equiv_pos_as_xyz
'x,y,z'
loop_
_atom_site_label
_atom_site_fract_x
_atom_site_fract_y
_atom_site_fract_z
Y1 0.1890 0.8110 0.0000
Y2 0.8110 0.1890 0.0000
Ag1 0.5000 0.5000 0.5000
F1 0.1433 0.1433 0.2932
F2 0.1522 0.4270 0.8900
F3 0.2853 0.7147 0.5000
F4 0.4270 0.1522 0.8900
F5 0.5730 0.8478 0.1100
F6 0.7147 0.2853 0.5000
F7 0.8478 0.5730 0.1100
F8 0.8567 0.8567 0.7068
```

Space group: C2/m, No. 12
Electronic total energy (eV per cell): -65.97
ΔE_f (raw) (eV per atom): -3.2021
Crystal system: monoclinic

The following is a GGA-PBE calculation of a relaxed Eu3SbRh crystal, from the Alexandria database.

Geometry as CIF:
```
data_Eu3SbRh
_symmetry_space_group_name_H-M 'P 1'
_symmetry_Int_Tables_number 1
_cell_length_a 5.4794
_cell_length_b 5.4794
_cell_length_c 5.4794
_cell_angle_alpha 90.00
_cell_angle_beta 90.00
_cell_angle_gamma 90.00
loop_
_symmetry_equiv_pos_as_xyz
'x,y,z'
loop_
_atom_site_label
_atom_site_fract_x
_atom_site_fract_y
_atom_site_fract_z
Eu1 0.0000 0.0000 0.5000
Eu2 0.0000 0.5000 0.0000
Eu3 0.5000 0.0000 0.0000
Sb1 0.5000 0.5000 0.5000
Rh1 0.0000 0.0000 0.0000
```

Space group: Pm-3m, No. 221
Electronic total energy (eV per cell): -44.99
ΔE_f (raw) (eV per atom): -0.5380
Density of states at the Fermi level (states/eV/cell): 19.4
Crystal system: cubic

The following is a GGA-PBE calculation of a relaxed HoGe4Rh crystal, from the Alexandria database.

Geometry as CIF:
```
data_HoGe4Rh
_symmetry_space_group_name_H-M 'P 1'
_symmetry_Int_Tables_number 1
_cell_length_a 6.2619
_cell_length_b 6.3282
_cell_length_c 6.8777
_cell_angle_alpha 86.74
_cell_angle_beta 89.95
_cell_angle_gamma 60.51
loop_
_symmetry_equiv_pos_as_xyz
'x,y,z'
loop_
_atom_site_label
_atom_site_fract_x
_atom_site_fract_y
_atom_site_fract_z
Ho1 0.1009 0.4955 0.2526
Ho2 0.8991 0.5045 0.7474
Ge1 0.1293 0.0015 0.1439
Ge2 0.3124 0.5877 0.5881
Ge3 0.3668 0.0064 0.6439
Ge4 0.3946 0.4153 0.9141
Ge5 0.6054 0.5847 0.0859
Ge6 0.6332 0.9936 0.3561
Ge7 0.6876 0.4123 0.4119
Ge8 0.8707 0.9985 0.8561
Rh1 0.0000 0.0000 0.5000
Rh2 0.5000 0.0000 0.0000
```

Space group: P-1, No. 2
Electronic total energy (eV per cell): -65.59
Density of states at the Fermi level (states/eV/cell): 4.5
Crystal system: triclinic
Energy relative to the elements (eV/atom): -0.399

The following is a GGA-PBE calculation of a relaxed Bi2BHPt6 crystal, from the Alexandria database.

Geometry as CIF:
```
data_Bi2BHPt6
_symmetry_space_group_name_H-M 'P 1'
_symmetry_Int_Tables_number 1
_cell_length_a 5.6774
_cell_length_b 5.7068
_cell_length_c 5.7174
_cell_angle_alpha 74.68
_cell_angle_beta 71.84
_cell_angle_gamma 71.90
loop_
_symmetry_equiv_pos_as_xyz
'x,y,z'
loop_
_atom_site_label
_atom_site_fract_x
_atom_site_fract_y
_atom_site_fract_z
Bi1 0.1691 0.2774 0.2799
Bi2 0.8309 0.7226 0.7201
B1 0.0000 0.0000 0.0000
H1 0.5000 0.5000 0.5000
Pt1 0.2664 0.2036 0.7659
Pt2 0.2673 0.7641 0.2014
Pt3 0.3361 0.7094 0.7077
Pt4 0.6639 0.2906 0.2923
Pt5 0.7327 0.2359 0.7986
Pt6 0.7336 0.7964 0.2341
```

Space group: P-1, No. 2
Electronic total energy (eV per cell): -55.05
Density of states at the Fermi level (states/eV/cell): 3.9
Crystal system: triclinic

The following is a GGA-PBE calculation of a relaxed Ba3NaBe crystal, from the Alexandria database.

Geometry as CIF:
```
data_Ba3NaBe
_symmetry_space_group_name_H-M 'P 1'
_symmetry_Int_Tables_number 1
_cell_length_a 6.4272
_cell_length_b 6.4272
_cell_length_c 6.4272
_cell_angle_alpha 90.00
_cell_angle_beta 90.00
_cell_angle_gamma 90.00
loop_
_symmetry_equiv_pos_as_xyz
'x,y,z'
loop_
_atom_site_label
_atom_site_fract_x
_atom_site_fract_y
_atom_site_fract_z
Ba1 0.0000 0.0000 0.5000
Ba2 0.0000 0.5000 0.0000
Ba3 0.5000 0.0000 0.0000
Na1 0.5000 0.5000 0.5000
Be1 0.0000 0.0000 0.0000
```

Space group: Pm-3m, No. 221
Electronic total energy (eV per cell): -9.38
Density of states at the Fermi level (states/eV/cell): 5.1
Crystal system: cubic
Energy relative to the elements (eV/atom): 0.287
Excess energy over the best structure of this formula in the dataset (eV per atom): 0.000

The following is a GGA-PBE calculation of a relaxed RbPuTlSe3 crystal, from the Alexandria database.

Geometry as CIF:
```
data_RbPuTlSe3
_symmetry_space_group_name_H-M 'P 1'
_symmetry_Int_Tables_number 1
_cell_length_a 8.5676
_cell_length_b 4.3014
_cell_length_c 10.9190
_cell_angle_alpha 90.00
_cell_angle_beta 94.93
_cell_angle_gamma 90.00
loop_
_symmetry_equiv_pos_as_xyz
'x,y,z'
loop_
_atom_site_label
_atom_site_fract_x
_atom_site_fract_y
_atom_site_fract_z
Rb1 0.0886 0.2500 0.1764
Rb2 0.9114 0.7500 0.8236
Pu1 0.4162 0.2500 0.8386
Pu2 0.5838 0.7500 0.1614
Tl1 0.2508 0.7500 0.5120
Tl2 0.7492 0.2500 0.4880
Se1 0.1443 0.2500 0.6869
Se2 0.3077 0.7500 0.9892
Se3 0.4670 0.2500 0.2957
Se4 0.5330 0.7500 0.7043
Se5 0.6923 0.2500 0.0108
Se6 0.8557 0.7500 0.3131
```

Space group: P2_1/m, No. 11
Electronic total energy (eV per cell): -69.14
ΔE_f (raw) (eV per atom): -1.0751
Density of states at the Fermi level (states/eV/cell): 21.0
Crystal system: monoclinic

The following is a GGA-PBE calculation of a relaxed FeCu2 crystal, from the Alexandria database.

Geometry as CIF:
```
data_FeCu2
_symmetry_space_group_name_H-M 'P 1'
_symmetry_Int_Tables_number 1
_cell_length_a 4.9787
_cell_length_b 4.9787
_cell_length_c 6.1795
_cell_angle_alpha 105.47
_cell_angle_beta 105.47
_cell_angle_gamma 29.18
loop_
_symmetry_equiv_pos_as_xyz
'x,y,z'
loop_
_atom_site_label
_atom_site_fract_x
_atom_site_fract_y
_atom_site_fract_z
Fe1 0.0000 0.0000 0.0000
Fe2 0.6621 0.6621 0.3237
Cu1 0.2742 0.2742 0.0449
Cu2 0.3315 0.3315 0.6617
Cu3 0.6074 0.6074 0.7129
Cu4 0.9390 0.9390 0.3800
```

Space group: Cm, No. 8
Electronic total energy (eV per cell): -32.50
Density of states at the Fermi level (states/eV/cell): 4.6
Crystal system: monoclinic
Energy relative to the elements (eV/atom): 0.135

The following is a GGA-PBE calculation of a relaxed Cd3Fe2 crystal, from the Alexandria database.

Geometry as CIF:
```
data_Cd3Fe2
_symmetry_space_group_name_H-M 'P 1'
_symmetry_Int_Tables_number 1
_cell_length_a 4.4807
_cell_length_b 4.4807
_cell_length_c 5.4994
_cell_angle_alpha 90.00
_cell_angle_beta 90.00
_cell_angle_gamma 120.00
loop_
_symmetry_equiv_pos_as_xyz
'x,y,z'
loop_
_atom_site_label
_atom_site_fract_x
_atom_site_fract_y
_atom_site_fract_z
Cd1 0.0000 0.0000 0.0000
Cd2 0.3333 0.6667 0.3761
Cd3 0.6667 0.3333 0.6239
Fe1 0.3333 0.6667 0.8954
Fe2 0.6667 0.3333 0.1046
```

Space group: P-3m1, No. 164
Electronic total energy (eV per cell): -17.83
Density of states at the Fermi level (states/eV/cell): 4.6
Crystal system: trigonal
Energy relative to the elements (eV/atom): 0.369
Excess energy over the best structure of this formula in the dataset (eV per atom): 0.024

The following is a GGA-PBE calculation of a relaxed Li2CoPt crystal, from the Alexandria database.

Geometry as CIF:
```
data_Li2CoPt
_symmetry_space_group_name_H-M 'P 1'
_symmetry_Int_Tables_number 1
_cell_length_a 2.7298
_cell_length_b 2.7298
_cell_length_c 7.6399
_cell_angle_alpha 90.00
_cell_angle_beta 90.00
_cell_angle_gamma 90.00
loop_
_symmetry_equiv_pos_as_xyz
'x,y,z'
loop_
_atom_site_label
_atom_site_fract_x
_atom_site_fract_y
_atom_site_fract_z
Li1 0.0000 0.0000 0.0000
Li2 0.5000 0.5000 0.3070
Co1 0.5000 0.5000 0.7693
Pt1 0.0000 0.0000 0.5420
```

Space group: P4mm, No. 99
Electronic total energy (eV per cell): -17.38
Density of states at the Fermi level (states/eV/cell): 2.1
Crystal system: tetragonal
Energy relative to the elements (eV/atom): -0.103
Excess energy over the best structure of this formula in the dataset (eV per atom): 0.143

The following is a GGA-PBE calculation of a relaxed Nd4SiTe2I crystal, from the Alexandria database.

Geometry as CIF:
```
data_Nd4SiTe2I
_symmetry_space_group_name_H-M 'P 1'
_symmetry_Int_Tables_number 1
_cell_length_a 7.6851
_cell_length_b 4.3980
_cell_length_c 7.8936
_cell_angle_alpha 90.00
_cell_angle_beta 108.62
_cell_angle_gamma 90.00
loop_
_symmetry_equiv_pos_as_xyz
'x,y,z'
loop_
_atom_site_label
_atom_site_fract_x
_atom_site_fract_y
_atom_site_fract_z
Nd1 0.2248 0.0000 0.2162
Nd2 0.2435 0.5000 0.7828
Nd3 0.7565 0.5000 0.2172
Nd4 0.7752 0.0000 0.7838
Si1 0.0000 0.5000 0.0000
Te1 0.5000 0.0000 0.0000
Te2 0.5000 0.5000 0.5000
I1 0.0000 0.0000 0.5000
```

Space group: P2/m, No. 10
Electronic total energy (eV per cell): -41.67
ΔE_f (raw) (eV per atom): -1.1673
Density of states at the Fermi level (states/eV/cell): 3.8
Crystal system: monoclinic

The following is a GGA-PBE calculation of a relaxed NiMoPt2 crystal, from the Alexandria database.

Geometry as CIF:
```
data_NiMoPt2
_symmetry_space_group_name_H-M 'P 1'
_symmetry_Int_Tables_number 1
_cell_length_a 4.3661
_cell_length_b 4.3661
_cell_length_c 4.3661
_cell_angle_alpha 60.00
_cell_angle_beta 60.00
_cell_angle_gamma 60.00
loop_
_symmetry_equiv_pos_as_xyz
'x,y,z'
loop_
_atom_site_label
_atom_site_fract_x
_atom_site_fract_y
_atom_site_fract_z
Ni1 0.0000 0.0000 0.0000
Mo1 0.2500 0.2500 0.2500
Pt1 0.5000 0.5000 0.5000
Pt2 0.7500 0.7500 0.7500
```

Space group: F-43m, No. 216
Electronic total energy (eV per cell): -28.75
Density of states at the Fermi level (states/eV/cell): 5.4
Crystal system: cubic
Energy relative to the elements (eV/atom): -0.015
Excess energy over the best structure of this formula in the dataset (eV per atom): 0.281

The following is a GGA-PBE calculation of a relaxed PrHPt4 crystal, from the Alexandria database.

Geometry as CIF:
```
data_PrHPt4
_symmetry_space_group_name_H-M 'P 1'
_symmetry_Int_Tables_number 1
_cell_length_a 5.3572
_cell_length_b 5.3572
_cell_length_c 5.3572
_cell_angle_alpha 60.00
_cell_angle_beta 60.00
_cell_angle_gamma 60.00
loop_
_symmetry_equiv_pos_as_xyz
'x,y,z'
loop_
_atom_site_label
_atom_site_fract_x
_atom_site_fract_y
_atom_site_fract_z
Pr1 0.0000 0.0000 0.0000
H1 0.7500 0.7500 0.7500
Pt1 0.3757 0.3757 0.3757
Pt2 0.3757 0.3757 0.8729
Pt3 0.3757 0.8729 0.3757
Pt4 0.8729 0.3757 0.3757
```

Space group: F-43m, No. 216
Electronic total energy (eV per cell): -34.35
Density of states at the Fermi level (states/eV/cell): 6.1
Crystal system: cubic